A plane-wave DFT calculation with PBE with a Hubbard U was carried out for an optimized crystal structure of MnAs2IO.

Summary:
Total magnetization   4.38 μB per formula unit
Energy   -0.1452 hartree per atom

Geometry as POSCAR:
```
MnAs2IO
1.0
5.5048 0.0000 0.0000
0.0000 5.5048 0.0000
0.0000 0.0000 3.9058
Mn As I O
1 2 1 1
Cartesian
0.0000 0.0000 0.0000
0.0000 2.7524 1.9529
2.7524 0.0000 1.9529
2.7524 2.7524 1.9529
2.7524 2.7524 0.0000
```